MgPdSe, relaxed, DFT PBE-GGA; magnetic moment = 0.00 μB/cell; formation energy from raw total energies = -0.615 eV/atom; final energy = -4.039 eV per atom
1.0
3.7579 0.0000 0.0000
0.0000 8.6129 0.0000
-0.1656 0.0000 6.8527
Mg Pd Se
4 4 4
Cartesian
0.0000 0.4885 0.0000
-0.0828 8.1244 3.4264
1.7962 3.8179 3.4264
1.8790 4.7950 0.0000
1.6764 1.1964 4.7612
1.7592 7.4165 1.3349
3.6382 3.1100 1.3349
3.5554 5.5029 4.7612
-0.0517 3.0319 5.4340
0.0311 5.5810 2.0077
1.9101 1.2746 2.0077
1.8273 7.3384 5.4340